(A)
CeHfZr2 | GGA-PBE | relaxed

Unit cell a=3.2652 b=10.6652 c=5.4184 alpha=90.00 beta=90.00 gamma=90.00
Closest atoms and distances in Å follow each position.
Space group Imm2 (No. 44)
Inequivalent atoms, fractional coordinates:
Ce1 0.0000 0.0000 0.0000 x2  4 Zr 3.09, 4 Hf 3.16, 2 Ce 3.27
Hf1 0.0000 0.5000 0.0000 x2  4 Zr 3.16, 4 Ce 3.16, 2 Hf 3.27
Zr1 0.0000 0.2537 0.5010 x4  2 Ce 3.09, 2 Hf 3.16, 6 Zr 3.16-3.27

=====

(B)
CeHfZr2 | GGA-PBE | relaxed

Unit cell a=7.2591 b=7.2591 c=7.2591 alpha=90.00 beta=90.00 gamma=90.00
Closest atoms and distances in Å follow each position.
Space group Fm-3m (No. 225)
Inequivalent atoms, fractional coordinates:
Ce1 0.0000 0.0000 0.0000 x4  8 Zr 3.14
Hf1 0.0000 0.0000 0.5000 x4  8 Zr 3.14
Zr1 0.2500 0.2500 0.2500 x8  4 Ce 3.14, 4 Hf 3.14

=====

The most stable arrangement is (A), and the next structure is 16 meV/atom less stable.

=====

(A)
CeHfZr2 | GGA-PBE | relaxed

Unit cell a=3.2090 b=3.2090 c=32.2613 alpha=90.00 beta=90.00 gamma=120.00
Closest atoms and distances in Å follow each position.
Space group R3m (No. 160, hexagonal axes)
Inequivalent atoms, fractional coordinates:
Ce1 0.0000 0.0000 0.0000 x3  6 Ce 3.21, 6 Zr 3.36-3.39
Hf1 0.0000 0.0000 0.8327 x3  6 Zr 3.15-3.16, 6 Hf 3.21
Zr1 0.0000 0.0000 0.2454 x3  3 Hf 3.16, 6 Zr 3.21, 3 Ce 3.39
Zr2 0.0000 0.0000 0.4203 x3  3 Hf 3.15, 6 Zr 3.21, 3 Ce 3.36

=====

(B)
CeHfZr2 | GGA-PBE | relaxed

Unit cell a=3.1498 b=3.1498 c=9.7014 alpha=90.00 beta=90.00 gamma=90.00
Closest atoms and distances in Å follow each position.
Space group P4/mmm (No. 123)
Inequivalent atoms, fractional coordinates:
Ce1 0.0000 0.0000 0.0000 x1  4 Ce 3.15, 8 Zr 3.42
Hf1 0.0000 0.0000 0.5000 x1  4 Hf 3.15, 8 Zr 3.17
Zr1 0.5000 0.5000 0.2673 x2  4 Zr 3.15, 4 Hf 3.17, 4 Ce 3.42

=====

(C)
CeHfZr2 | GGA-PBE | relaxed

Unit cell a=3.0790 b=3.0790 c=35.5270 alpha=90.00 beta=90.00 gamma=120.00
Closest atoms and distances in Å follow each position.
Space group R-3m (No. 166, hexagonal axes)
Inequivalent atoms, fractional coordinates:
Ce1 0.0000 0.0000 0.0000 x3  6 Ce 3.08
Hf1 0.0000 0.0000 0.5000 x3  2 Zr 2.96, 6 Hf 3.08
Zr1 0.0000 0.0000 0.4166 x6  1 Hf 2.96, 6 Zr 3.08

=====

(D)
CeHfZr2 | GGA-PBE | relaxed

Unit cell a=4.6087 b=4.6087 c=4.5555 alpha=90.00 beta=90.00 gamma=90.00
Closest atoms and distances in Å follow each position.
Space group P4/mmm (No. 123)
Inequivalent atoms, fractional coordinates:
Ce1 0.0000 0.0000 0.0000 x1  8 Zr 3.24, 4 Hf 3.26
Hf1 0.5000 0.5000 0.0000 x1  8 Zr 3.24, 4 Ce 3.26
Zr1 0.0000 0.5000 0.5000 x2  4 Ce 3.24, 4 Hf 3.24, 4 Zr 3.26

=====

The most stable arrangement is (B), and the next structure is 20 meV/atom less stable.

=====

(A)
Ce5Hg | GGA-PBE | relaxed

Unit cell a=5.7008 b=10.0090 c=5.5360 alpha=90.00 beta=90.00 gamma=90.00
Closest atoms and distances in Å follow each position.
Space group Cmmm (No. 65)
Inequivalent atoms, fractional coordinates:
Ce1 0.0000 0.0000 0.0000 x2  10 Ce 3.12-3.34
Ce2 0.0000 0.1448 0.5000 x4  3 Ce 2.90-3.12, 2 Hg 3.20
Ce3 0.0000 0.3252 0.0000 x4  8 Ce 3.22-3.50, 2 Hg 3.27
Hg1 0.0000 0.5000 0.5000 x2  10 Ce 3.20-3.56

=====

(B)
Ce5Hg | GGA-PBE | relaxed

Unit cell a=5.5463 b=17.0200 c=3.2771 alpha=90.00 beta=90.00 gamma=90.00
Closest atoms and distances in Å follow each position.
Space group Cmmm (No. 65)
Inequivalent atoms, fractional coordinates:
Ce1 0.0000 0.0000 0.0000 x2  6 Ce 3.11-3.28, 4 Hg 3.22
Ce2 0.0000 0.1551 0.5000 x4  10 Ce 3.11-3.43
Ce3 0.0000 0.3324 0.0000 x4  8 Ce 3.23-3.43, 2 Hg 3.29
Hg1 0.0000 0.5000 0.5000 x2  8 Ce 3.22-3.29, 2 Hg 3.28

=====

(C)
Ce5Hg | GGA-PBE | relaxed

Unit cell a=10.8250 b=4.3978 c=6.8661 alpha=90.00 beta=108.23 gamma=90.00
Closest atoms and distances in Å follow each position.
Space group C2/m (No. 12)
Inequivalent atoms, fractional coordinates:
Ce1 0.0000 0.0000 0.0000 x2  10 Ce 3.21-3.46, 2 Hg 3.43
Ce2 0.1701 0.5000 0.8592 x4  9 Ce 3.08-3.44, 2 Hg 3.39
Ce3 0.1841 0.5000 0.3656 x4  2 Ce 2.94, 3 Hg 3.25-3.29
Hg1 0.0000 0.0000 0.5000 x2  12 Ce 3.25-3.43

=====

The most stable arrangement is (C), and the next structure is 20 meV/atom less stable.

=====

(A)
Ce2Hg3 | GGA-PBE | relaxed

Unit cell a=3.2073 b=28.7760 c=5.8692 alpha=90.00 beta=90.00 gamma=90.00
Closest atoms and distances in Å follow each position.
Space group Cmcm (No. 63)
Inequivalent atoms, fractional coordinates:
Ce1 0.0000 0.1776 0.2500 x4  4 Ce 2.91-3.21
Ce2 0.0000 0.2382 0.7500 x4  4 Ce 2.91-3.21
Hg1 0.0000 0.1237 0.7500 x4  8 Hg 3.21-3.59, 3 Ce 3.29-3.32
Hg2 0.0000 0.4213 0.7500 x4  5 Hg 3.01-3.30, 2 Ce 3.27
Hg3 0.0000 0.4740 0.2500 x4  9 Hg 3.01-3.30

=====

(B)
Ce2Hg3 | GGA-PBE | relaxed

Unit cell a=7.2244 b=12.9345 c=6.2806 alpha=90.00 beta=90.00 gamma=90.00
Closest atoms and distances in Å follow each position.
Space group Ibam (No. 72)
Inequivalent atoms, fractional coordinates:
Ce1 0.2482 0.1652 0.0000 x8  7 Hg 3.11-3.39
Hg1 0.0000 0.5000 0.2500 x4  6 Hg 3.14, 4 Ce 3.22
Hg2 0.1617 0.0923 0.5000 x8  5 Ce 3.11-3.39, 3 Hg 3.14-3.34

=====

The most stable arrangement is (B), and the next structure is 143 meV/atom less stable.

=====

(A)
CeHg4 | GGA-PBE | relaxed

Unit cell a=8.9178 b=5.1669 c=6.2741 alpha=90.00 beta=117.76 gamma=90.00
Closest atoms and distances in Å follow each position.
Space group C2/m (No. 12)
Inequivalent atoms, fractional coordinates:
Ce1 0.0000 0.0000 0.0000 x2  14 Hg 3.23-3.59
Hg1 0.0920 0.5000 0.7732 x4  5 Hg 3.03-3.26, 3 Ce 3.23
Hg2 0.2141 0.0000 0.6399 x4  7 Hg 3.07-3.38

=====

(B)
CeHg4 | GGA-PBE | relaxed

Unit cell a=6.2354 b=6.2354 c=6.2354 alpha=90.00 beta=90.00 gamma=90.00
Closest atoms and distances in Å follow each position.
Space group Pm-3m (No. 221)
Inequivalent atoms, fractional coordinates:
Ce1 0.0000 0.0000 0.0000 x1  6 Hg 3.12
Hg1 0.0000 0.0000 0.5000 x3  2 Ce 3.12
Hg2 0.5000 0.5000 0.5000 x1  12 Hg 4.41

=====

The most stable arrangement is (A), and the next structure is 609 meV/atom less stable.

=====

(A)
Ce2HoHg | GGA-PBE | relaxed

Unit cell a=4.4901 b=4.4901 c=5.2800 alpha=90.00 beta=90.00 gamma=90.00
Closest atoms and distances in Å follow each position.
Space group P4/mmm (No. 123)
Inequivalent atoms, fractional coordinates:
Ce1 0.0000 0.5000 0.0000 x2  4 Ce 3.17, 4 Hg 3.47, 4 Ho 3.47
Ho1 0.0000 0.0000 0.5000 x1  4 Hg 3.17, 8 Ce 3.47
Hg1 0.5000 0.5000 0.5000 x1  4 Ho 3.17, 8 Ce 3.47

=====

(B)
Ce2HoHg | GGA-PBE | relaxed

Unit cell a=7.6978 b=7.6978 c=7.6978 alpha=90.00 beta=90.00 gamma=90.00
Closest atoms and distances in Å follow each position.
Space group Fm-3m (No. 225)
Inequivalent atoms, fractional coordinates:
Ce1 0.2500 0.2500 0.2500 x8  4 Ho 3.33, 4 Hg 3.33
Ho1 0.0000 0.0000 0.0000 x4  8 Ce 3.33
Hg1 0.0000 0.0000 0.5000 x4  8 Ce 3.33

=====

The most stable arrangement is (A), and the next structure is 150 meV/atom less stable.

=====

(A)
CeHoHg | GGA-PBE | relaxed

Unit cell a=8.3416 b=6.0247 c=6.7961 alpha=90.00 beta=104.35 gamma=90.00
Closest atoms and distances in Å follow each position.
Space group P2_1/c (No. 14)
Inequivalent atoms, fractional coordinates:
Ce1 0.0349 0.0803 0.2015 x4  1 Ce 2.83
Ho1 0.3452 0.6566 0.1312 x4  5 Hg 3.13-3.17
Hg1 0.3398 0.1607 0.9938 x4  5 Ho 3.13-3.17, 3 Ce 3.22-3.40, 1 Hg 3.28

=====

(B)
CeHoHg | GGA-PBE | relaxed

Unit cell a=5.3144 b=5.3144 c=3.1071 alpha=90.00 beta=90.00 gamma=120.00
Closest atoms and distances in Å follow each position.
Space group P3m1 (No. 156)
Inequivalent atoms, fractional coordinates:
Ce1 0.0000 0.0000 0.0000 x1  3 Ho 3.07, 2 Ce 3.11
Ho1 0.3333 0.6667 0.0033 x1  3 Ce 3.07, 2 Ho 3.11
Hg1 0.6667 0.3333 0.5018 x1  2 Hg 3.11, 6 Ce 3.44, 6 Ho 3.44

=====

The most stable arrangement is (A), and the next structure is 229 meV/atom less stable.

=====

(A)
CeHoHgIr | GGA-PBE | relaxed

Unit cell a=4.0759 b=4.0759 c=22.4895 alpha=90.00 beta=90.00 gamma=120.00
Closest atoms and distances in Å follow each position.
Space group R3m (No. 160, hexagonal axes)
Inequivalent atoms, fractional coordinates:
Ce1 0.0000 0.0000 0.0000 x3  3 Ir 2.78
Ho1 0.0000 0.0000 0.7999 x3  3 Ir 2.80
Hg1 0.0000 0.0000 0.5635 x3  3 Ho 3.21, 3 Ce 3.31
Ir1 0.0000 0.0000 0.3992 x3  3 Ce 2.78, 3 Ho 2.80

=====

(B)
CeHoHgIr | GGA-PBE | relaxed

Unit cell a=7.2072 b=7.2072 c=7.2072 alpha=90.00 beta=90.00 gamma=90.00
Closest atoms and distances in Å follow each position.
Space group F-43m (No. 216)
Inequivalent atoms, fractional coordinates:
Ce1 0.0000 0.0000 0.0000 x4  4 Hg 3.12, 4 Ir 3.12
Ho1 0.0000 0.0000 0.5000 x4  4 Hg 3.12, 4 Ir 3.12
Hg1 0.2500 0.2500 0.2500 x4  4 Ce 3.12, 4 Ho 3.12
Ir1 0.2500 0.2500 0.7500 x4  4 Ce 3.12, 4 Ho 3.12

=====

The most stable arrangement is (A), and the next structure is 86 meV/atom less stable.